A plane-wave DFT calculation with GGA-PBE was carried out for Sm2HoSc8 after structural relaxation.

Properties
Total energy, eV per atom: -5.73
V, Å³ per atom: 27.18

Cell: 5.518 8.661 8.838 Å, 60.66 73.38 54.28°
Fractional positions:
Sm1 0.000 0.307 0.386
Sm2 0.000 0.693 0.614
Ho1 0.500 0.000 0.000
Sc1 0.810 0.096 0.238
Sc2 0.810 0.334 0.762
Sc3 0.286 0.450 0.000
Sc4 0.500 0.795 0.410
Sc5 0.500 0.205 0.590
Sc6 0.714 0.550 0.000
Sc7 0.190 0.666 0.238
Sc8 0.190 0.904 0.762

***

A plane-wave DFT calculation with GGA-PBE was carried out for TbPuRh after structural relaxation.

Properties
Total energy, eV per atom: -9.22
V, Å³ per atom: 23.05
Offset from the most stable computed form, meV/atom: 0.0

Cell: 3.774 4.507 8.131 Å, 90.00 90.00 90.00°
Fractional positions:
Tb1 0.015 0.946 0.307
Tb2 0.515 0.446 0.029
Pu1 0.015 0.446 0.642
Pu2 0.515 0.946 0.694
Rh1 0.015 0.946 0.954
Rh2 0.515 0.446 0.382